1.
VASP calculation (PBE-GGA) on a relaxed Ca2InGaH crystal.

Output
Its space group is No. 123. As for the density of states at the Fermi level: 1.943 states/eV/f.u. Its energy relative to the lowest polymorph listed for this composition is 0 meV/atom.

abc: 4.8477 4.8477 4.5228
angles: 90.00 90.00 90.00
Closest atoms and distances in Å follow each position.
Element x y z (fractional)
1 Ca 0.0000 0.5000 0.0000  2 H 2.42
2 Ca 0.5000 0.0000 0.0000  2 H 2.42
3 In 0.0000 0.0000 0.5000  8 Ca 3.31, 4 Ga 3.43
4 Ga 0.5000 0.5000 0.5000  2 H 2.26
5 H 0.5000 0.5000 0.0000  2 Ga 2.26, 4 Ca 2.42

2.
VASP calculation (PBE-GGA) on a relaxed NdAl2Ni2Ge crystal.

Output
Its formation energy is -2.149 eV per formula unit. Its space group is No. 123. As for the density of states at the Fermi level: 3.416 states/eV/f.u.

abc: 4.3875 4.3875 5.6690
angles: 90.00 90.00 90.00
Closest atoms and distances in Å follow each position.
Element x y z (fractional)
1 Nd 0.0000 0.0000 0.0000  2 Ge 2.83
2 Al 0.5000 0.5000 0.2471  4 Ni 2.62, 2 Al 2.80-2.87
3 Al 0.5000 0.5000 0.7529  4 Ni 2.62, 2 Al 2.80-2.87
4 Ni 0.0000 0.5000 0.5000  2 Ge 2.19
5 Ni 0.5000 0.0000 0.5000  2 Ge 2.19
6 Ge 0.0000 0.0000 0.5000  4 Ni 2.19

3.
VASP calculation (PBE-GGA) on a relaxed SiTe3 crystal.

Output
Its space group is No. 166. As for the total energy: -13.87 eV for the cell shown. As for the density of states at the Fermi level: 2.208 states/eV/f.u.

abc: 5.3622 5.3622 5.3622
angles: 109.81 109.81 109.81
Closest atoms and distances in Å follow each position.
Element x y z (fractional)
1 Si 0.0000 0.0000 0.0000  6 Te 3.08
2 Te 0.0000 0.5000 0.5000  4 Te 3.08, 2 Si 3.08
3 Te 0.5000 0.0000 0.5000  2 Si 3.08, 4 Te 3.08
4 Te 0.5000 0.5000 0.0000  4 Te 3.08, 2 Si 3.08

4.
VASP calculation (PBE-GGA) on a relaxed AcNd2Sm5Tm crystal.

Output
Its formation energy is 2.348 eV per formula unit. Its space group is No. 140. As for the density of states at the Fermi level: 10.533 states/eV/f.u.

abc: 10.1363 10.1363 10.1363
angles: 127.54 127.54 77.37
Closest atoms and distances in Å follow each position.
Element x y z (fractional)
1 Ac 0.2500 0.2500 0.0000  10 Sm 3.71-3.96
2 Ac 0.7500 0.7500 0.0000  10 Sm 3.71-3.96
3 Nd 0.1171 0.6171 0.7341  1 Nd 2.97, 2 Sm 3.09
4 Nd 0.3829 0.1171 0.5000  1 Nd 2.97, 2 Sm 3.09
5 Nd 0.6171 0.8829 0.5000  1 Nd 2.97, 2 Sm 3.09
6 Nd 0.8829 0.3829 0.2659  1 Nd 2.97, 2 Sm 3.09
7 Sm 0.0000 0.0000 0.0000  4 Nd 3.59, 8 Sm 3.85, 2 Ac 3.96
8 Sm 0.0719 0.1604 0.5000  1 Nd 3.09, 1 Tm 3.19
9 Sm 0.1604 0.6604 0.0885  1 Nd 3.09, 1 Tm 3.19
10 Sm 0.3396 0.4281 0.5000  1 Nd 3.09, 1 Tm 3.19
11 Sm 0.4281 0.9281 0.0885  1 Nd 3.09, 1 Tm 3.19
12 Sm 0.5000 0.5000 0.0000  4 Nd 3.59, 8 Sm 3.85, 2 Ac 3.96
13 Sm 0.5719 0.0719 0.9115  1 Nd 3.09, 1 Tm 3.19
14 Sm 0.6604 0.5719 0.5000  1 Nd 3.09, 1 Tm 3.19
15 Sm 0.8396 0.3396 0.9115  1 Nd 3.09, 1 Tm 3.19
16 Sm 0.9281 0.8396 0.5000  1 Nd 3.09, 1 Tm 3.19
17 Tm 0.2500 0.7500 0.5000  4 Sm 3.19
18 Tm 0.7500 0.2500 0.5000  4 Sm 3.19

What are the theoretical density values for these records? In order: 4151, 5907, 5822, 7509 kg/m3.